## Tm7Ag2Hg2 (PBE-GGA)

Data for Tm7Ag2Hg2 after structural relaxation.

```
11
Lattice="3.733 -5.395 0.000 3.733 5.395 0.000 0.000 0.000 7.761" Properties=species:S:1:pos:R:3 pbc="T T T"
Tm 0.000 0.000 0.000
Tm 1.866 2.697 2.249
Tm 1.866 2.697 5.512
Tm 1.866 -2.697 2.249
Tm 1.866 -2.697 5.512
Tm 3.733 0.000 2.118
Tm 3.733 0.000 5.643
Ag 1.364 0.000 3.880
Ag 6.101 0.000 3.880
Hg 3.733 2.199 0.000
Hg 3.733 -2.199 0.000
```

Properties
Energy of formation ... -0.0069 eV/atom